VAsHBr2: relaxed, PBE.

Cell lengths 5.0206, 5.0206, 3.4834 Å; angles 90.00, 90.00, 90.00 degrees
Each line ends with the local moment (μB).
Atoms (fractional coordinates):
V 0.5000 0.5000 0.5000  0.25
Br 0.0000 0.5000 0.0000  0.02
As 0.0000 0.0000 0.5000  -0.03
Br 0.5000 0.0000 0.0000  0.02
H 0.0000 0.0000 0.0000  -0.01

Summary:
As for the total energy: -16.716 eV per cell. Its energy relative to the lowest polymorph listed for this composition is 0.350 eV per atom.